Compound: Al2HgS
Source: Alexandria via LeMat-Bulk
Functional: PBE
Structure: relaxed

Computed properties:
Density of states at the Fermi level in states/eV/cell: 0.3
E in eV per formula unit: -12.4
Offset from the most stable computed form in eV per formula unit: 0.00
Formation energy (no corrections) in kJ/mol of atoms: -10.8

a b c (Å): 6.1264 6.1264 10.3005
angles (deg): 90.00 90.00 90.00
Space group I-42d (No. 122)
Inequivalent atoms, fractional coordinates:
Al 0.2267 0.2500 0.1250 (multiplicity 8)
Hg 0.0000 0.0000 0.5000 (multiplicity 4)
S 0.0000 0.0000 0.0000 (multiplicity 4)

=====

Compound: PrHoCo
Source: Alexandria via LeMat-Bulk
Functional: PBE
Structure: relaxed

Computed properties:
Density of states at the Fermi level in states/eV/cell: 6.2
E in eV per formula unit: -16.5
Offset from the most stable computed form in eV per formula unit: 0.20

a b c (Å): 3.4077 6.9215 6.9233
angles (deg): 105.99 90.08 104.20
Space group P-1 (No. 2)
Inequivalent atoms, fractional coordinates:
Pr 0.1279 0.2554 0.0645 (multiplicity 2)
Ho 0.1247 0.2510 0.5603 (multiplicity 2)
Co 0.4949 0.9897 0.2710 (multiplicity 2)

=====

Compound: Pm8In2Os
Source: Alexandria via LeMat-Bulk
Functional: PBE
Structure: relaxed

Computed properties:
Density of states at the Fermi level in states/eV/cell: 21.4
E in eV per formula unit: -57.1

a b c (Å): 17.7772 5.5751 7.1426
angles (deg): 90.00 111.96 90.00
Space group C2/m (No. 12)
Inequivalent atoms, fractional coordinates:
Pm 0.0064 0.0000 0.2687 (multiplicity 4)
Pm 0.1084 0.5000 0.9019 (multiplicity 4)
Pm 0.1401 0.5000 0.4048 (multiplicity 4)
Pm 0.1977 0.0000 0.7397 (multiplicity 4)
In 0.1832 0.0000 0.1885 (multiplicity 4)
Os 0.0000 0.5000 0.5000 (multiplicity 2)

=====

Compound: Zr2TiBiC
Source: Alexandria via LeMat-Bulk
Functional: PBE
Structure: relaxed

Computed properties:
Density of states at the Fermi level in states/eV/cell: 5.2
E in eV per formula unit: -40.0

a b c (Å): 4.7197 4.7197 4.1513
angles (deg): 90.00 90.00 90.00
Space group P4/mmm (No. 123)
Inequivalent atoms, fractional coordinates:
Zr 0.0000 0.5000 0.0000 (multiplicity 2)
Ti 0.0000 0.0000 0.5000 (multiplicity 1)
Bi 0.5000 0.5000 0.5000 (multiplicity 1)
C 0.0000 0.0000 0.0000 (multiplicity 1)

=====

Compound: SrCa2PuS4
Source: Alexandria via LeMat-Bulk
Functional: PBE
Structure: relaxed

Computed properties:
Density of states at the Fermi level in states/eV/cell: 13.6
E in eV per formula unit: -52.4
Formation energy (no corrections) in kJ/mol of atoms: -191.0

a b c (Å): 7.0883 4.0847 7.1160
angles (deg): 90.00 109.62 90.00
Space group P2/m (No. 10)
Inequivalent atoms, fractional coordinates:
Sr 0.0000 0.0000 0.0000 (multiplicity 1)
Ca 0.5000 0.0000 0.5000 (multiplicity 1)
Ca 0.5000 0.5000 0.0000 (multiplicity 1)
Pu 0.0000 0.5000 0.5000 (multiplicity 1)
S 0.2515 0.0000 0.7426 (multiplicity 2)
S 0.2590 0.5000 0.2601 (multiplicity 2)

=====

Compound: Na3Er3NbSe8
Source: Alexandria via LeMat-Bulk
Functional: PBE
Structure: relaxed

Computed properties:
Density of states at the Fermi level in states/eV/cell: 13.4
E in eV per formula unit: -77.6
Formation energy (no corrections) in kJ/mol of atoms: -141.4

a b c (Å): 8.0321 8.0321 21.3602
angles (deg): 90.00 90.00 120.00
Space group R-3m (No. 166, hexagonal axes)
Inequivalent atoms, fractional coordinates:
Na 0.0000 0.5000 0.0000 (multiplicity 9)
Er 0.0000 0.5000 0.5000 (multiplicity 9)
Nb 0.0000 0.0000 0.5000 (multiplicity 3)
Se 0.0000 0.0000 0.2432 (multiplicity 6)
Se 0.0177 0.5089 0.2392 (multiplicity 18)

=====

Compound: InAuS2
Source: Alexandria via LeMat-Bulk
Functional: PBE
Structure: relaxed

Computed properties:
Density of states at the Fermi level in states/eV/cell: 0.0
E in eV per formula unit: -15.7
Formation energy (no corrections) in kJ/mol of atoms: -33.4

a b c (Å): 3.7976 6.3863 8.8809
angles (deg): 90.00 100.85 90.00
Space group P2_1 (No. 4)
Inequivalent atoms, fractional coordinates:
In 0.2063 0.0000 0.4016 (multiplicity 2)
Au 0.5003 0.2956 0.0021 (multiplicity 2)
S 0.2087 0.6012 0.4124 (multiplicity 2)
S 0.3936 0.5423 0.8081 (multiplicity 2)

=====

Compound: Ca2YSc
Source: Alexandria via LeMat-Bulk
Functional: PBE
Structure: relaxed

Computed properties:
Density of states at the Fermi level in states/eV/cell: 24.1
E in eV per formula unit: -14.8
Offset from the most stable computed form in eV per formula unit: 1.62

a b c (Å): 8.9733 8.9733 6.6882
angles (deg): 90.00 90.00 90.00
Space group I-42d (No. 122)
Inequivalent atoms, fractional coordinates:
Ca 0.2380 0.2500 0.1250 (multiplicity 8)
Y 0.0000 0.0000 0.5000 (multiplicity 4)
Sc 0.0000 0.0000 0.0000 (multiplicity 4)

=====

Compound: Cs3Pt
Source: Alexandria via LeMat-Bulk
Functional: PBE
Structure: relaxed

Computed properties:
Density of states at the Fermi level in states/eV/cell: 1.6
E in eV per formula unit: -8.1
Offset from the most stable computed form in eV per formula unit: 0.00

a b c (Å): 4.9452 4.9463 10.1444
angles (deg): 90.00 90.00 90.00
Space group Pmm2 (No. 25)
Inequivalent atoms, fractional coordinates:
Cs 0.0000 0.0000 0.0000 (multiplicity 1)
Cs 0.0000 0.5000 0.2820 (multiplicity 1)
Cs 0.5000 0.5000 0.5642 (multiplicity 1)
Pt 0.5000 0.0000 0.2812 (multiplicity 1)

=====

Compound: BeRe2Tc
Source: Alexandria via LeMat-Bulk
Functional: PBE
Structure: relaxed

Computed properties:
Density of states at the Fermi level in states/eV/cell: 7.9
E in eV per formula unit: -38.6

a b c (Å): 2.7365 2.7365 25.3794
angles (deg): 90.00 90.00 120.00
Space group R-3m (No. 166, hexagonal axes)
Inequivalent atoms, fractional coordinates:
Be 0.0000 0.0000 0.0000 (multiplicity 3)
Re 0.0000 0.0000 0.2544 (multiplicity 6)
Tc 0.0000 0.0000 0.5000 (multiplicity 3)

=====

Compound: RbBeCd3
Source: Alexandria via LeMat-Bulk
Functional: PBE
Structure: relaxed

Computed properties:
Density of states at the Fermi level in states/eV/cell: 1.9
E in eV per formula unit: -6.6
Offset from the most stable computed form in eV per formula unit: 0.00

a b c (Å): 5.0607 5.0607 5.0607
angles (deg): 90.00 90.00 90.00
Space group Pm-3m (No. 221)
Inequivalent atoms, fractional coordinates:
Rb 0.0000 0.0000 0.0000 (multiplicity 1)
Be 0.5000 0.5000 0.5000 (multiplicity 1)
Cd 0.0000 0.5000 0.5000 (multiplicity 3)

=====

Compound: Nd2AlZn3Ag4
Source: Alexandria via LeMat-Bulk
Functional: PBE
Structure: relaxed

Computed properties:
Density of states at the Fermi level in states/eV/cell: 6.2
E in eV per formula unit: -30.9

a b c (Å): 4.2011 4.2011 11.8023
angles (deg): 90.00 90.00 90.00
Space group P-4m2 (No. 115)
Inequivalent atoms, fractional coordinates:
Nd 0.0000 0.5000 0.2489 (multiplicity 2)
Al 0.0000 0.0000 0.5000 (multiplicity 1)
Zn 0.0000 0.5000 0.8593 (multiplicity 2)
Zn 0.5000 0.5000 0.5000 (multiplicity 1)
Ag 0.0000 0.0000 0.0000 (multiplicity 1)
Ag 0.0000 0.5000 0.6388 (multiplicity 2)
Ag 0.5000 0.5000 0.0000 (multiplicity 1)

=====

Compound: TbTm5Sc
Source: Alexandria via LeMat-Bulk
Functional: PBE
Structure: relaxed

Computed properties:
Density of states at the Fermi level in states/eV/cell: 21.5
E in eV per formula unit: -32.9
Offset from the most stable computed form in eV per formula unit: 0.00

a b c (Å): 9.0319 3.5328 13.4355
angles (deg): 90.00 101.79 90.00
Space group P2_1/m (No. 11)
Inequivalent atoms, fractional coordinates:
Tb 0.1149 0.2500 0.1381 (multiplicity 2)
Tm 0.0058 0.7500 0.3664 (multiplicity 2)
Tm 0.2009 0.2500 0.8868 (multiplicity 2)
Tm 0.3253 0.2500 0.5070 (multiplicity 2)
Tm 0.3481 0.7500 0.7232 (multiplicity 2)
Tm 0.4188 0.7500 0.0826 (multiplicity 2)
Sc 0.3526 0.7500 0.3080 (multiplicity 2)

=====

Compound: VTc2Ge2
Source: Alexandria via LeMat-Bulk
Functional: PBE
Structure: relaxed

Computed properties:
Density of states at the Fermi level in states/eV/cell: 9.7
E in eV per formula unit: -39.2
Offset from the most stable computed form in eV per formula unit: 0.00

a b c (Å): 6.9415 6.9415 3.0606
angles (deg): 90.00 90.00 90.00
Space group P4/mbm (No. 127)
Inequivalent atoms, fractional coordinates:
V 0.0000 0.0000 0.0000 (multiplicity 2)
Tc 0.1504 0.3496 0.5000 (multiplicity 4)
Ge 0.1479 0.6479 0.0000 (multiplicity 4)

=====

Compound: PrYHo5Th2
Source: Alexandria via LeMat-Bulk
Functional: PBE
Structure: relaxed

Computed properties:
Density of states at the Fermi level in states/eV/cell: 52.8
E in eV per formula unit: -46.0

a b c (Å): 8.9058 8.9058 15.1501
angles (deg): 90.00 90.00 90.00
Space group I4/mcm (No. 140)
Inequivalent atoms, fractional coordinates:
Pr 0.0000 0.0000 0.2500 (multiplicity 4)
Y 0.0000 0.5000 0.2500 (multiplicity 4)
Ho 0.0000 0.0000 0.0000 (multiplicity 4)
Ho 0.2080 0.2920 0.1366 (multiplicity 16)
Th 0.1183 0.3817 0.5000 (multiplicity 8)

=====

Compound: PrScCd11
Source: Alexandria via LeMat-Bulk
Functional: PBE
Structure: relaxed

Computed properties:
Density of states at the Fermi level in states/eV/cell: 11.0
E in eV per formula unit: -23.1

a b c (Å): 6.0886 14.0242 7.7563
angles (deg): 90.00 113.08 90.00
Space group C2/m (No. 12)
Inequivalent atoms, fractional coordinates:
Pr 0.0000 0.0000 0.0000 (multiplicity 2)
Sc 0.0000 0.0000 0.5000 (multiplicity 2)
Cd 0.0000 0.5000 0.5000 (multiplicity 2)
Cd 0.1119 0.3925 0.2138 (multiplicity 8)
Cd 0.1682 0.1738 0.3489 (multiplicity 8)
Cd 0.2500 0.2500 0.0000 (multiplicity 4)

=====

Compound: Sm4Ge8Pt
Source: Alexandria via LeMat-Bulk
Functional: PBE
Structure: relaxed

Computed properties:
Density of states at the Fermi level in states/eV/cell: 6.3
E in eV per formula unit: -70.6

a b c (Å): 4.0723 4.1906 16.7872
angles (deg): 90.00 90.00 90.00
Space group Pmm2 (No. 25)
Inequivalent atoms, fractional coordinates:
Sm 0.0000 0.0000 0.0000 (multiplicity 1)
Sm 0.0000 0.5000 0.4893 (multiplicity 1)
Sm 0.5000 0.0000 0.7895 (multiplicity 1)
Sm 0.5000 0.5000 0.2828 (multiplicity 1)
Ge 0.0000 0.0000 0.3331 (multiplicity 1)
Ge 0.0000 0.0000 0.6239 (multiplicity 1)
Ge 0.0000 0.5000 0.1389 (multiplicity 1)
Ge 0.0000 0.5000 0.8569 (multiplicity 1)
Ge 0.5000 0.0000 0.1439 (multiplicity 1)
Ge 0.5000 0.0000 0.4303 (multiplicity 1)
Ge 0.5000 0.5000 0.6223 (multiplicity 1)
Ge 0.5000 0.5000 0.9512 (multiplicity 1)
Pt 0.0000 0.5000 0.7099 (multiplicity 1)

=====

Compound: HfTi3Co2
Source: Alexandria via LeMat-Bulk
Functional: PBE
Structure: relaxed

Computed properties:
Density of states at the Fermi level in states/eV/cell: 5.5
E in eV per formula unit: -49.3
Offset from the most stable computed form in eV per formula unit: 0.00

a b c (Å): 3.0273 3.0273 9.9473
angles (deg): 90.00 90.00 90.00
Space group P4/mmm (No. 123)
Inequivalent atoms, fractional coordinates:
Hf 0.0000 0.0000 0.0000 (multiplicity 1)
Ti 0.5000 0.5000 0.2075 (multiplicity 2)
Ti 0.5000 0.5000 0.5000 (multiplicity 1)
Co 0.0000 0.0000 0.3578 (multiplicity 2)

=====

Compound: TbPmSm2Tm2
Source: Alexandria via LeMat-Bulk
Functional: PBE
Structure: relaxed

Computed properties:
Density of states at the Fermi level in states/eV/cell: 19.6
E in eV per formula unit: -26.1

a b c (Å): 6.5162 18.0341 3.3991
angles (deg): 90.00 90.00 90.00
Space group Pnnm (No. 58)
Inequivalent atoms, fractional coordinates:
Tb 0.0000 0.0000 0.0000 (multiplicity 2)
Pm 0.0000 0.5000 0.0000 (multiplicity 2)
Sm 0.2203 0.3111 0.0000 (multiplicity 4)
Tm 0.2185 0.1461 0.5000 (multiplicity 4)

=====

Compound: CdBiMoRh2
Source: Alexandria via LeMat-Bulk
Functional: PBE
Structure: relaxed

Computed properties:
Density of states at the Fermi level in states/eV/cell: 4.2
E in eV per formula unit: -25.8

a b c (Å): 4.7226 4.7226 5.2387
angles (deg): 90.00 90.00 90.00
Space group P4/mmm (No. 123)
Inequivalent atoms, fractional coordinates:
Cd 0.0000 0.0000 0.0000 (multiplicity 1)
Bi 0.5000 0.5000 0.0000 (multiplicity 1)
Mo 0.0000 0.0000 0.5000 (multiplicity 1)
Rh 0.0000 0.5000 0.5000 (multiplicity 2)

=====

Compound: Sc2NbPPb
Source: Alexandria via LeMat-Bulk
Functional: PBE
Structure: relaxed

Computed properties:
Density of states at the Fermi level in states/eV/cell: 6.2
E in eV per formula unit: -30.4

a b c (Å): 5.2152 5.2152 4.7373
angles (deg): 90.00 90.00 90.00
Space group P4/mmm (No. 123)
Inequivalent atoms, fractional coordinates:
Sc 0.0000 0.5000 0.0000 (multiplicity 2)
Nb 0.0000 0.0000 0.0000 (multiplicity 1)
P 0.0000 0.0000 0.5000 (multiplicity 1)
Pb 0.5000 0.5000 0.5000 (multiplicity 1)

=====

Compound: SrLa2InOs
Source: Alexandria via LeMat-Bulk
Functional: PBE
Structure: relaxed

Computed properties:
Density of states at the Fermi level in states/eV/cell: 3.0
E in eV per formula unit: -26.1
Offset from the most stable computed form in eV per formula unit: 0.00

a b c (Å): 5.5818 5.5818 5.4546
angles (deg): 90.00 90.00 90.00
Space group P4/mmm (No. 123)
Inequivalent atoms, fractional coordinates:
Sr 0.0000 0.0000 0.0000 (multiplicity 1)
La 0.0000 0.5000 0.5000 (multiplicity 2)
In 0.5000 0.5000 0.0000 (multiplicity 1)
Os 0.5000 0.5000 0.5000 (multiplicity 1)

=====

Compound: Na3Tl6In2
Source: Alexandria via LeMat-Bulk
Functional: PBE
Structure: relaxed

Computed properties:
Density of states at the Fermi level in states/eV/cell: 9.9
E in eV per formula unit: -23.8

a b c (Å): 6.6770 6.7620 14.9101
angles (deg): 90.00 90.00 90.00
Space group Cmmm (No. 65)
Inequivalent atoms, fractional coordinates:
Na 0.0000 0.0000 0.0000 (multiplicity 2)
Na 0.0000 0.0000 0.3183 (multiplicity 4)
Tl 0.0000 0.2557 0.5000 (multiplicity 4)
Tl 0.2500 0.2500 0.1560 (multiplicity 8)
In 0.0000 0.5000 0.3126 (multiplicity 4)